A.
## Sr2YPt (PBE)

Data for a geometry-optimized Sr2YPt structure.

Properties
D(E_F), states/eV/f.u.: 3.80
Magnetization, Bohr magnetons per cell: 0.00
Density, Mg/m³: 5.18

Cell: 9.419 9.419 9.419 Å, 157.08 153.05 35.66°
Positions (direct):
Sr 0.158 0.158 0.000
Sr 0.842 0.842 0.000
Y 0.500 0.000 0.500
Pt 0.000 0.500 0.500

***

B.
## Sr2YPt (PBE)

Data for a geometry-optimized Sr2YPt structure.

Properties
D(E_F), states/eV/f.u.: 4.92
Magnetization, Bohr magnetons per cell: 0.01
Density, Mg/m³: 6.29

Cell: 6.333 6.333 6.333 Å, 135.91 135.91 64.12°
Positions (direct):
Sr 0.000 0.000 0.000
Sr 0.750 0.250 0.500
Y 0.250 0.750 0.500
Pt 0.500 0.500 0.000

***

C.
## Sr2YPt (PBE)

Data for a geometry-optimized Sr2YPt structure.

Properties
D(E_F), states/eV/f.u.: 3.17
Magnetization, Bohr magnetons per cell: 0.88
Density, Mg/m³: 5.18

Cell: 10.694 10.694 10.694 Å, 21.75 21.75 21.75°
Positions (direct):
Sr 0.226 0.226 0.226
Sr 0.774 0.774 0.774
Y 0.000 0.000 0.000
Pt 0.500 0.500 0.500

***

Energies, relative to the best one, in eV/atom: A 0.000; B 0.442; C 0.228.

***

A.
## Sr2YPt (PBE)

Data for a geometry-optimized Sr2YPt structure.

Properties
D(E_F), states/eV/f.u.: 4.08
Magnetization, Bohr magnetons per cell: 0.00
Density, Mg/m³: 6.52

Cell: 6.470 6.470 6.470 Å, 138.66 138.66 59.89°
Positions (direct):
Sr 0.250 0.750 0.500
Sr 0.750 0.250 0.500
Y 0.000 0.000 0.000
Pt 0.500 0.500 0.000

***

B.
## Sr2YPt (PBE)

Data for a geometry-optimized Sr2YPt structure.

Properties
D(E_F), states/eV/f.u.: 3.62
Magnetization, Bohr magnetons per cell: 0.38
Density, Mg/m³: 5.71

Cell: 3.723 3.723 9.634 Å, 90.00 90.00 90.00°
Positions (direct):
Sr 0.000 0.000 0.184
Sr 0.000 0.000 0.816
Y 0.500 0.500 0.500
Pt 0.500 0.500 0.000

***

Energies, relative to the best one, in eV/atom: A 0.208; B 0.000.

***

A.
## Sr2YPt (PBE)

Data for a geometry-optimized Sr2YPt structure.

Properties
D(E_F), states/eV/f.u.: 4.59
Magnetization, Bohr magnetons per cell: 0.00
Density, Mg/m³: 6.68

Cell: 5.446 5.446 5.446 Å, 60.00 60.00 60.00°
Positions (direct):
Sr 0.000 0.000 0.000
Sr 0.250 0.250 0.250
Y 0.750 0.750 0.750
Pt 0.500 0.500 0.500

***

B.
## Sr2YPt (PBE)

Data for a geometry-optimized Sr2YPt structure.

Properties
D(E_F), states/eV/f.u.: 5.63
Magnetization, Bohr magnetons per cell: 0.00
Density, Mg/m³: 6.46

Cell: 4.644 4.644 5.475 Å, 90.00 90.00 90.00°
Positions (direct):
Sr 0.000 0.500 0.000
Sr 0.500 0.000 0.000
Y 0.000 0.000 0.500
Pt 0.500 0.500 0.500

***

C.
## Sr2YPt (PBE)

Data for a geometry-optimized Sr2YPt structure.

Properties
D(E_F), states/eV/f.u.: 4.13
Magnetization, Bohr magnetons per cell: 0.00
Density, Mg/m³: 5.83

Cell: 4.493 4.363 6.802 Å, 90.00 101.22 90.00°
Positions (direct):
Sr 0.108 0.000 0.289
Sr 0.892 0.000 0.711
Y 0.500 0.500 0.000
Pt 0.500 0.500 0.500

***

Energies, relative to the best one, in eV/atom: A 0.101; B 0.065; C 0.000.